Compound: TbHo3Rh3
Source: Alexandria via LeMat-Bulk
Functional: PBE-GGA
Structure: optimized geometry

Spin magnetization ... 0.00 μB/cell
Excess energy over the best structure of this formula in the dataset ... 0 meV/atom
Energy of formation ... -0.7370 eV/atom
Total DFT energy (no corrections) ... -6.511 eV/atom
Crystal system ... trigonal

abc: 5.907 5.880 5.907
angles: 109.38 109.56 109.38
Positions (direct):
Ho 0.000 0.004 0.500
Ho 0.500 0.504 0.500
Ho 0.500 0.004 0.000
Rh 0.500 0.004 0.500
Rh 0.500 0.504 0.000
Rh 0.000 0.504 0.500
Tb 0.000 0.503 0.000